[1]
Entry from Alexandria: a PBEsol-optimized structure of Ga2CF (SCAN).

Computed properties:
As for the total energy: -45.21 eV for the cell shown. The value obtained for the spin magnetization is 0.00 Bohr magnetons per cell. Its space group is Fm-3m (225). The calculation puts the density of states at the Fermi level at 1.1 states/eV per cell.

Geometry as CIF:
```
data_Ga2CF
_chemical_formula_sum 'Ga2 C1 F1'
_symmetry_space_group_name_H-M 'P 1'
_symmetry_Int_Tables_number 1
_cell_length_a 3.970
_cell_length_b 3.970
_cell_length_c 3.970
_cell_angle_alpha 60.00
_cell_angle_beta 60.00
_cell_angle_gamma 60.00
loop_
_symmetry_equiv_pos_as_xyz
'x,y,z'
loop_
_atom_site_label
_atom_site_fract_x
_atom_site_fract_y
_atom_site_fract_z
C1 0.000 0.000 0.000
Ga1 0.250 0.250 0.250
Ga2 0.750 0.750 0.750
F1 0.500 0.500 0.500
```



[2]
Entry from Alexandria: a PBEsol-optimized structure of GaCF2 (SCAN).

Computed properties:
As for the total energy: -69.30 eV for the cell shown. The value obtained for the spin magnetization is 2.00 Bohr magnetons per cell. Its space group is I-42d (122). The calculation puts the density of states at the Fermi level at 3.3 states/eV per cell.

Geometry as CIF:
```
data_GaCF2
_chemical_formula_sum 'Ga2 C2 F4'
_symmetry_space_group_name_H-M 'P 1'
_symmetry_Int_Tables_number 1
_cell_length_a 7.547
_cell_length_b 5.681
_cell_length_c 7.547
_cell_angle_alpha 48.38
_cell_angle_beta 90.00
_cell_angle_gamma 131.62
loop_
_symmetry_equiv_pos_as_xyz
'x,y,z'
loop_
_atom_site_label
_atom_site_fract_x
_atom_site_fract_y
_atom_site_fract_z
C1 0.250 0.500 0.250
C2 0.500 0.000 0.500
Ga1 0.750 0.500 0.750
Ga2 0.000 0.000 0.000
F1 0.796 0.750 0.375
F2 0.954 0.750 0.875
F3 0.875 0.250 0.796
F4 0.375 0.250 0.954
```



[3]
Entry from Alexandria: a PBEsol-optimized structure of GaCO2F (SCAN).

Computed properties:
As for the total energy: -40.79 eV for the cell shown. The value obtained for the spin magnetization is 0.00 Bohr magnetons per cell. Its space group is P4/mmm (123). The calculation puts the density of states at the Fermi level at 0.9 states/eV per cell.

Geometry as CIF:
```
data_GaCO2F
_chemical_formula_sum 'Ga1 C1 O2 F1'
_symmetry_space_group_name_H-M 'P 1'
_symmetry_Int_Tables_number 1
_cell_length_a 3.491
_cell_length_b 3.491
_cell_length_c 3.516
_cell_angle_alpha 90.00
_cell_angle_beta 90.00
_cell_angle_gamma 90.00
loop_
_symmetry_equiv_pos_as_xyz
'x,y,z'
loop_
_atom_site_label
_atom_site_fract_x
_atom_site_fract_y
_atom_site_fract_z
C1 0.000 0.000 0.000
O1 0.000 0.500 0.000
O2 0.500 0.000 0.000
Ga1 0.500 0.500 0.500
F1 0.000 0.000 0.500
```



[4]
Entry from Alexandria: a PBEsol-optimized structure of K4Gd2C3O9F4 (SCAN).

Computed properties:
As for the total energy: -619.64 eV for the cell shown. The value obtained for the spin magnetization is 28.00 Bohr magnetons per cell. Its space group is P2_1 (4). The calculation puts the density of states at the Fermi level at 0.0 states/eV per cell.

Geometry as CIF:
```
data_K4Gd2C3O9F4
_chemical_formula_sum 'K8 Gd4 C6 O18 F8'
_symmetry_space_group_name_H-M 'P 1'
_symmetry_Int_Tables_number 1
_cell_length_a 6.881
_cell_length_b 8.957
_cell_length_c 10.465
_cell_angle_alpha 90.00
_cell_angle_beta 100.87
_cell_angle_gamma 90.00
loop_
_symmetry_equiv_pos_as_xyz
'x,y,z'
loop_
_atom_site_label
_atom_site_fract_x
_atom_site_fract_y
_atom_site_fract_z
K1 0.002 0.001 0.749
K2 0.998 0.501 0.251
K3 0.116 0.314 0.561
K4 0.137 0.823 0.062
K5 0.493 0.376 0.247
K6 0.507 0.876 0.753
K7 0.863 0.323 0.938
K8 0.884 0.814 0.439
Gd1 0.356 0.494 0.896
Gd2 0.356 0.003 0.391
Gd3 0.644 0.994 0.104
Gd4 0.644 0.503 0.609
C1 0.986 0.144 0.259
C2 0.014 0.644 0.741
C3 0.352 0.174 0.928
C4 0.651 0.175 0.562
C5 0.349 0.675 0.438
C6 0.648 0.674 0.072
O1 0.999 0.999 0.251
O2 0.128 0.216 0.329
O3 0.001 0.499 0.749
O4 0.171 0.710 0.804
O5 0.198 0.246 0.871
O6 0.515 0.244 0.480
O7 0.357 0.030 0.934
O8 0.225 0.751 0.355
O9 0.657 0.031 0.557
O10 0.507 0.250 0.983
O11 0.493 0.750 0.017
O12 0.343 0.531 0.443
O13 0.643 0.530 0.066
O14 0.485 0.744 0.520
O15 0.829 0.210 0.196
O16 0.775 0.251 0.645
O17 0.872 0.716 0.671
O18 0.802 0.746 0.129
F1 0.189 0.502 0.057
F2 0.198 0.006 0.557
F3 0.396 0.103 0.196
F4 0.424 0.382 0.712
F5 0.604 0.603 0.804
F6 0.576 0.882 0.288
F7 0.811 0.002 0.943
F8 0.802 0.506 0.443
```



[5]
Entry from Alexandria: a PBEsol-optimized structure of K4Gd2C3O9F4 (SCAN).

Computed properties:
As for the total energy: -309.82 eV for the cell shown. The value obtained for the spin magnetization is 14.00 Bohr magnetons per cell. Its space group is C2 (5). The calculation puts the density of states at the Fermi level at 0.0 states/eV per cell.

Geometry as CIF:
```
data_K4Gd2C3O9F4
_chemical_formula_sum 'K4 Gd2 C3 O9 F4'
_symmetry_space_group_name_H-M 'P 1'
_symmetry_Int_Tables_number 1
_cell_length_a 6.853
_cell_length_b 6.853
_cell_length_c 6.927
_cell_angle_alpha 81.16
_cell_angle_beta 81.16
_cell_angle_gamma 82.05
loop_
_symmetry_equiv_pos_as_xyz
'x,y,z'
loop_
_atom_site_label
_atom_site_fract_x
_atom_site_fract_y
_atom_site_fract_z
K1 0.503 0.129 0.883
K2 0.154 0.846 0.500
K3 0.871 0.497 0.117
K4 0.000 0.000 0.000
Gd1 0.640 0.649 0.644
Gd2 0.351 0.360 0.356
C1 0.978 0.338 0.625
C2 0.354 0.646 0.000
C3 0.662 0.022 0.375
O1 0.806 0.882 0.379
O2 0.823 0.337 0.759
O3 0.353 0.786 0.851
O4 0.214 0.647 0.149
O5 0.118 0.194 0.621
O6 0.663 0.177 0.241
O7 0.989 0.495 0.492
O8 0.498 0.502 0.000
O9 0.505 0.011 0.508
F1 0.811 0.792 0.818
F2 0.208 0.189 0.182
F3 0.392 0.442 0.652
F4 0.558 0.608 0.348
```



[6]
Entry from Alexandria: a PBEsol-optimized structure of LiGe2CF (SCAN).

Computed properties:
As for the total energy: -49.27 eV for the cell shown. The value obtained for the spin magnetization is 0.00 Bohr magnetons per cell. Its space group is P4/mmm (123). The calculation puts the density of states at the Fermi level at 1.3 states/eV per cell.

Geometry as CIF:
```
data_LiGe2CF
_chemical_formula_sum 'Li1 Ge2 C1 F1'
_symmetry_space_group_name_H-M 'P 1'
_symmetry_Int_Tables_number 1
_cell_length_a 3.921
_cell_length_b 4.432
_cell_length_c 4.432
_cell_angle_alpha 90.00
_cell_angle_beta 90.00
_cell_angle_gamma 90.00
loop_
_symmetry_equiv_pos_as_xyz
'x,y,z'
loop_
_atom_site_label
_atom_site_fract_x
_atom_site_fract_y
_atom_site_fract_z
Ge1 0.000 0.000 0.500
Ge2 0.000 0.500 0.000
Li1 0.500 0.500 0.500
C1 0.500 0.000 0.000
F1 0.000 0.000 0.000
```